Density functional theory data (PBE-GGA) for a geometry-optimized TaAlCoW structure.

Results
- E above lowest polymorph (meV per atom) = 0.0

abc: 4.383 4.383 4.383
angles: 60.00 60.00 60.00
Atoms (fractional coordinates):
Ta (0.500, 0.500, 0.500)
Al (0.000, 0.000, 0.000)
W (0.250, 0.250, 0.250)
Co (0.750, 0.750, 0.750)

***

Density functional theory data (PBE-GGA) for a geometry-optimized YTaAlCo structure.

Results
- E above lowest polymorph (meV per atom) = 0.0

abc: 4.642 4.642 4.642
angles: 60.00 60.00 60.00
Atoms (fractional coordinates):
Y (0.500, 0.500, 0.500)
Ta (0.250, 0.250, 0.250)
Al (0.000, 0.000, 0.000)
Co (0.750, 0.750, 0.750)

***

Density functional theory data (PBE-GGA) for a geometry-optimized AlCoTc2 structure.

abc: 4.246 4.246 4.246
angles: 60.00 60.00 60.00
Atoms (fractional coordinates):
Tc (0.750, 0.750, 0.750)
Tc (0.000, 0.000, 0.000)
Co (0.250, 0.250, 0.250)
Al (0.500, 0.500, 0.500)

***

Density functional theory data (PBE-GGA) for a geometry-optimized AlCo2Tc structure.

abc: 4.092 4.092 4.092
angles: 60.00 60.00 60.00
Atoms (fractional coordinates):
Al (0.500, 0.500, 0.500)
Tc (0.250, 0.250, 0.250)
Co (0.750, 0.750, 0.750)
Co (0.000, 0.000, 0.000)

***

Density functional theory data (PBE-GGA) for a geometry-optimized AlCoTcW structure.

Results
- E above lowest polymorph (meV per atom) = 0.0

abc: 4.273 4.273 4.273
angles: 60.00 60.00 60.00
Atoms (fractional coordinates):
Tc (0.250, 0.250, 0.250)
W (0.500, 0.500, 0.500)
Al (0.000, 0.000, 0.000)
Co (0.750, 0.750, 0.750)

***

Density functional theory data (PBE-GGA) for a geometry-optimized ZrAlCoTc structure.

Results
- E above lowest polymorph (meV per atom) = 0.0

abc: 4.395 4.395 4.395
angles: 60.00 60.00 60.00
Atoms (fractional coordinates):
Zr (0.500, 0.500, 0.500)
Co (0.750, 0.750, 0.750)
Tc (0.250, 0.250, 0.250)
Al (0.000, 0.000, 0.000)

***

Density functional theory data (PBE-GGA) for a geometry-optimized ZrAlCoTc structure.

Results
- E above lowest polymorph (meV per atom) = 410.1

abc: 4.469 4.469 4.469
angles: 60.00 60.00 60.00
Atoms (fractional coordinates):
Zr (0.250, 0.250, 0.250)
Al (0.000, 0.000, 0.000)
Co (0.750, 0.750, 0.750)
Tc (0.500, 0.500, 0.500)

***

Density functional theory data (PBE-GGA) for a geometry-optimized ThAlCo structure.

abc: 8.066 8.066 8.066
angles: 120.02 82.82 128.66
Atoms (fractional coordinates):
Th (0.247, 0.287, 0.460)
Th (0.247, 0.787, 0.960)
Th (0.667, 0.917, 0.250)
Th (0.667, 0.417, 0.750)
Th (0.827, 0.787, 0.540)
Th (0.826, 0.287, 0.040)
Co (0.246, 0.997, 0.750)
Co (0.580, 0.746, 0.834)
Co (0.580, 0.246, 0.333)
Co (0.247, 0.497, 0.250)
Co (0.913, 0.746, 0.166)
Co (0.913, 0.246, 0.667)
Al (0.020, 0.520, 0.500)
Al (0.247, 0.860, 0.387)
Al (0.474, 0.860, 0.613)
Al (0.474, 0.360, 0.113)
Al (0.020, 0.020, 0.000)
Al (0.247, 0.360, 0.887)

***

Asked for final energy across the records above, the calculation gives -35.6 -27.9 -32.3 -28.5 -35.1 -31.2 -29.6 -119.0 eV for the cell shown in order.